(1)
A relaxed structure of NaLi2HfN, computed with PBE.

```
5
Lattice="3.631 0.000 0.000 0.000 3.631 0.000 0.000 0.000 6.159" Properties=species:S:1:pos:R:3 pbc="T T T"
Na 0.000 0.000 0.000
Li 0.000 1.815 0.000
Li 1.815 0.000 0.000
Hf 0.000 0.000 3.079
N 1.815 1.815 3.079
```

Properties
calculated volume	81	Å³ per cell
spin magnetization	0.0	Bohr magnetons per cell

=====

(2)
A relaxed structure of Li3HfNb2N6, computed with PBE.

```
12
Lattice="2.729 -4.728 0.000 2.729 4.728 0.000 -1.807 0.000 5.057" Properties=species:S:1:pos:R:3 pbc="T T T"
Li 0.000 0.000 0.000
Li 2.729 1.615 0.000
Li 2.729 -1.615 0.000
Hf 1.826 0.000 2.529
Nb 1.826 3.153 2.529
Nb 1.826 -3.153 2.529
N 0.897 1.608 1.404
N -0.031 0.000 3.655
N 0.897 -1.608 1.404
N 2.755 1.608 3.654
N 3.683 0.000 1.402
N 2.755 -1.608 3.654
```

Properties
calculated volume	131	Å³ per cell
spin magnetization	0.0	Bohr magnetons per cell

=====

(3)
A relaxed structure of Li3Hf2NbN6, computed with PBE.

```
12
Lattice="2.767 -4.795 0.000 2.767 4.795 0.000 -1.833 0.000 5.040" Properties=species:S:1:pos:R:3 pbc="T T T"
Li 0.000 0.000 0.000
Li 2.767 1.545 0.000
Li 2.767 -1.545 0.000
Hf 1.850 3.197 2.520
Hf 1.850 -3.197 2.520
Nb 1.850 0.000 2.520
N 0.950 1.562 1.398
N 0.045 0.000 3.639
N 0.950 -1.562 1.398
N 2.750 1.562 3.642
N 3.655 0.000 1.400
N 2.750 -1.562 3.642
```

Properties
calculated volume	134	Å³ per cell
spin magnetization	0.0	Bohr magnetons per cell

=====

no.,ΔE_f (raw) (eV/f.u.),density of states at the Fermi level (states/eV/atom)
1,7.11,0.7055
2,-10.87,0.3826
3,-11.18,0.6510